The following is a GGA-PBE calculation of SiTcTe2I after structural relaxation, from the Alexandria database.

Cell lengths 5.311, 5.311, 5.427 Å; angles 90.00, 90.00, 90.00 degrees
Space group P4/mmm (No. 123)
One atom of each set of equivalent atoms:
Si 0.000 0.000 0.000 (multiplicity 1)
Tc 0.500 0.500 0.500 (multiplicity 1)
Te 0.000 0.500 0.000 (multiplicity 2)
I 0.000 0.000 0.500 (multiplicity 1)

Output
As for the density of states at the Fermi level: 1.9 states/eV/f.u. The energy above the lowest structure with this stoichiometry is 227.5 meV/atom. As for the formation energy without anion corrections: 1.056 eV/atom.

The following is a GGA-PBE calculation of SiTcTe2I after structural relaxation, from the Alexandria database.

Cell lengths 5.133, 5.133, 5.659 Å; angles 90.00, 90.00, 90.00 degrees
Space group P4/mmm (No. 123)
One atom of each set of equivalent atoms:
Si 0.000 0.000 0.000 (multiplicity 1)
Tc 0.500 0.500 0.500 (multiplicity 1)
Te 0.000 0.500 0.500 (multiplicity 2)
I 0.500 0.500 0.000 (multiplicity 1)

Output
As for the density of states at the Fermi level: 6.3 states/eV/f.u. The energy above the lowest structure with this stoichiometry is 0.0 meV/atom. As for the formation energy without anion corrections: 0.828 eV/atom.

What is the formation energy without anion corrections in the first record?
1.056 eV/atom

Which of these has the highest formation energy without anion corrections?
number 1

Please write out number 1 again, unchanged.
The following is a GGA-PBE calculation of SiTcTe2I after structural relaxation, from the Alexandria database.

Cell lengths 5.311, 5.311, 5.427 Å; angles 90.00, 90.00, 90.00 degrees
Space group P4/mmm (No. 123)
One atom of each set of equivalent atoms:
Si 0.000 0.000 0.000 (multiplicity 1)
Tc 0.500 0.500 0.500 (multiplicity 1)
Te 0.000 0.500 0.000 (multiplicity 2)
I 0.000 0.000 0.500 (multiplicity 1)

Output
As for the density of states at the Fermi level: 1.9 states/eV/f.u. The energy above the lowest structure with this stoichiometry is 227.5 meV/atom. As for the formation energy without anion corrections: 1.056 eV/atom.